Entry from Alexandria: crystalline RbNaTlS2 at its relaxed geometry (PBE).

Cell lengths 6.655, 7.959, 6.381 Å; angles 113.76, 90.00, 90.00 degrees
Sites, in units of the cell vectors:
Rb  0.246  0.500  0.750
Rb  0.754  0.500  0.250
Tl  0.000  0.000  0.500
Tl  0.000  0.000  0.000
S  0.724  0.746  0.873
S  0.276  0.254  0.127
S  0.724  0.254  0.627
S  0.276  0.746  0.373
Na  0.500  0.000  0.750
Na  0.500  0.000  0.250

## Properties
**Uncorrected formation energy**: -567 meV/atom
**Size of the total moment**: 0.000 μB per formula unit
**Space group**: No. 13

***

Entry from Alexandria: crystalline RbNaTl2S4 at its relaxed geometry (PBE).

Cell lengths 7.068, 7.010, 7.010 Å; angles 70.09, 59.72, 59.72 degrees
Sites, in units of the cell vectors:
Na  0.500  0.500  0.500
S  0.453  0.127  0.488
S  0.932  0.488  0.127
S  0.068  0.873  0.512
S  0.547  0.512  0.873
Tl  0.203  0.297  0.297
Tl  0.797  0.703  0.703
Rb  0.000  0.000  0.000

## Properties
**Uncorrected formation energy**: -428 meV/atom
**Size of the total moment**: 0.000 μB per formula unit
**Space group**: No. 23

***

Entry from Alexandria: crystalline Rb2NaU2S7 at its relaxed geometry (PBE).

Cell lengths 5.190, 5.190, 13.946 Å; angles 79.27, 79.27, 90.00 degrees
Each line ends with the local moment (μB).
Sites, in units of the cell vectors:
Na  0.000  0.000  0.000  0.00
S  0.687  0.687  0.625  -0.04
S  0.592  0.092  0.816  -0.04
S  0.092  0.592  0.816  -0.04
S  0.908  0.408  0.184  -0.04
S  0.408  0.908  0.184  -0.04
S  0.500  0.500  0.000  -0.04
S  0.313  0.313  0.375  -0.04
U  0.404  0.404  0.192  0.66
U  0.596  0.596  0.808  0.66
Rb  0.185  0.185  0.630  0.00
Rb  0.815  0.815  0.370  0.00

## Properties
**Uncorrected formation energy**: -1241 meV/atom
**Size of the total moment**: 1.029 μB per formula unit
**Space group**: No. 139

***

Entry from Alexandria: crystalline RbNa2US4 at its relaxed geometry (PBE).

Cell lengths 7.439, 6.849, 6.849 Å; angles 65.74, 57.11, 57.11 degrees
Each line ends with the local moment (μB).
Sites, in units of the cell vectors:
U  0.500  0.500  0.500  1.18
Na  0.250  0.250  0.250  0.00
Na  0.750  0.750  0.750  0.00
S  0.449  0.147  0.551  -0.04
S  0.551  0.449  0.853  -0.04
S  0.853  0.551  0.147  -0.04
S  0.147  0.853  0.449  -0.04
Rb  0.000  0.000  0.000  0.00

## Properties
**Uncorrected formation energy**: -1090 meV/atom
**Size of the total moment**: 1.000 μB per formula unit
**Space group**: No. 121

***

Entry from Alexandria: crystalline Rb2NaUS4 at its relaxed geometry (PBE).

Cell lengths 4.164, 7.934, 7.212 Å; angles 72.60, 90.00, 90.00 degrees
Each line ends with the local moment (μB).
Sites, in units of the cell vectors:
Na  0.500  0.500  0.000  0.00
Rb  0.500  0.000  0.500  0.00
Rb  0.000  0.000  0.000  0.00
S  0.000  0.310  0.272  -0.05
S  0.000  0.690  0.728  -0.05
S  0.500  0.312  0.706  -0.04
S  0.500  0.688  0.294  -0.04
U  0.000  0.500  0.500  1.21

## Properties
**Uncorrected formation energy**: -1304 meV/atom
**Size of the total moment**: 1.000 μB per formula unit
**Space group**: No. 10

***

Entry from Alexandria: crystalline Rb2NaUS6 at its relaxed geometry (PBE).

Cell lengths 7.516, 7.517, 7.516 Å; angles 60.00, 60.00, 90.00 degrees
Each line ends with the local moment (μB).
Sites, in units of the cell vectors:
Rb  0.750  0.250  0.500  0.00
Rb  0.250  0.750  0.500  0.00
S  0.263  0.263  0.000  0.22
S  0.737  0.263  0.000  0.22
S  0.263  0.263  0.474  0.22
S  0.737  0.737  0.000  0.22
S  0.737  0.737  0.526  0.22
S  0.263  0.737  0.000  0.22
Na  0.000  0.000  0.000  0.00
U  0.500  0.500  0.000  -0.25

## Properties
**Uncorrected formation energy**: -844 meV/atom
**Size of the total moment**: 1.841 μB per formula unit
**Space group**: No. 225

***

Entry from Alexandria: crystalline Rb2NaU3S8 at its relaxed geometry (PBE).

Cell lengths 8.102, 8.102, 9.393 Å; angles 64.45, 64.45, 60.00 degrees
Each line ends with the local moment (μB).
Sites, in units of the cell vectors:
U  0.492  0.987  0.029  1.78
U  0.987  0.492  0.029  1.78
U  0.492  0.492  0.029  1.78
Na  0.979  0.979  0.062  0.00
Rb  0.489  0.489  0.532  0.00
Rb  0.135  0.135  0.594  0.00
S  0.749  0.296  0.206  -0.06
S  0.225  0.225  0.858  -0.06
S  0.296  0.749  0.206  -0.06
S  0.715  0.715  0.855  -0.06
S  0.692  0.225  0.858  -0.06
S  0.225  0.692  0.858  -0.06
S  0.267  0.267  0.199  -0.06
S  0.749  0.749  0.206  -0.06

## Properties
**Uncorrected formation energy**: -1381 meV/atom
**Size of the total moment**: 5.000 μB per formula unit
**Space group**: No. 160

***

Entry from Alexandria: crystalline RbNa3U2S6 at its relaxed geometry (PBE).

Cell lengths 4.072, 8.619, 9.076 Å; angles 100.63, 102.96, 90.00 degrees
Each line ends with the local moment (μB).
Sites, in units of the cell vectors:
S  0.319  0.864  0.638  -0.05
S  0.674  0.562  0.349  -0.06
S  0.326  0.438  0.651  -0.06
S  0.681  0.136  0.362  -0.05
S  0.980  0.713  0.960  -0.05
S  0.020  0.287  0.040  -0.05
U  0.167  0.340  0.335  2.05
U  0.833  0.660  0.665  2.05
Na  0.158  0.823  0.315  0.00
Na  0.500  0.500  0.000  0.00
Na  0.842  0.177  0.685  0.00
Rb  0.500  0.000  0.000  0.00

## Properties
**Uncorrected formation energy**: -1303 meV/atom
**Size of the total moment**: 4.000 μB per formula unit
**Space group**: No. 12

***

Entry from Alexandria: crystalline Rb2Na3US6 at its relaxed geometry (PBE).

Cell lengths 8.098, 8.098, 6.957 Å; angles 99.93, 99.93, 123.62 degrees
Each line ends with the local moment (μB).
Sites, in units of the cell vectors:
S  0.780  0.780  0.204  0.11
S  0.220  0.220  0.796  0.11
S  0.333  0.080  0.241  0.12
S  0.080  0.333  0.241  0.12
S  0.667  0.920  0.759  0.12
S  0.920  0.667  0.759  0.12
Rb  0.677  0.323  0.000  0.00
Rb  0.323  0.677  0.000  0.00
Na  0.500  0.500  0.500  0.00
Na  0.872  0.128  0.500  0.00
Na  0.128  0.872  0.500  0.00
U  0.000  0.000  0.000  -0.16

## Properties
**Uncorrected formation energy**: -1103 meV/atom
**Size of the total moment**: 1.060 μB per formula unit
**Space group**: No. 12

***

Entry from Alexandria: crystalline RbNaUS3 at its relaxed geometry (PBE).

Cell lengths 4.138, 10.370, 8.013 Å; angles 99.51, 90.00, 90.00 degrees
Each line ends with the local moment (μB).
Sites, in units of the cell vectors:
S  0.250  0.198  0.013  -0.06
S  0.750  0.802  0.987  -0.06
S  0.250  0.824  0.396  -0.04
S  0.750  0.176  0.604  -0.04
S  0.250  0.483  0.811  -0.06
S  0.750  0.517  0.189  -0.06
Na  0.250  0.023  0.701  0.00
Na  0.750  0.977  0.299  0.00
U  0.750  0.327  0.900  2.05
U  0.250  0.673  0.100  2.05
Rb  0.250  0.334  0.402  0.00
Rb  0.750  0.666  0.598  0.00

## Properties
**Uncorrected formation energy**: -1320 meV/atom
**Size of the total moment**: 2.000 μB per formula unit
**Space group**: No. 11

***

Entry from Alexandria: crystalline RbNaVS4 at its relaxed geometry (PBE).

Cell lengths 7.320, 5.562, 9.790 Å; angles 90.00, 102.32, 90.00 degrees
Sites, in units of the cell vectors:
S  0.017  0.473  0.269
S  0.983  0.973  0.731
S  0.435  0.750  0.189
S  0.983  0.527  0.731
S  0.565  0.250  0.811
S  0.365  0.750  0.537
S  0.017  0.027  0.269
S  0.635  0.250  0.463
Na  0.252  0.250  0.564
Na  0.748  0.750  0.436
Rb  0.254  0.250  0.024
Rb  0.746  0.750  0.976
V  0.237  0.750  0.323
V  0.763  0.250  0.677

## Properties
**Uncorrected formation energy**: -865 meV/atom
**Size of the total moment**: 0.000 μB per formula unit
**Space group**: No. 11

***

Entry from Alexandria: crystalline Rb2NaVS4 at its relaxed geometry (PBE).

Cell lengths 6.325, 7.382, 12.642 Å; angles 83.85, 75.51, 64.63 degrees
Sites, in units of the cell vectors:
Na  0.750  0.500  0.500
Na  0.000  0.000  0.000
S  0.206  0.307  0.397
S  0.840  0.807  0.897
S  0.544  0.193  0.103
S  0.263  0.193  0.897
S  0.487  0.307  0.603
S  0.910  0.693  0.603
S  0.353  0.807  0.103
S  0.397  0.693  0.397
Rb  0.182  0.000  0.636
Rb  0.568  0.500  0.864
Rb  0.932  0.500  0.136
Rb  0.818  0.000  0.364
V  0.250  0.500  0.500
V  0.500  0.000  0.000

## Properties
**Uncorrected formation energy**: -1055 meV/atom
**Size of the total moment**: 0.000 μB per formula unit
**Space group**: No. 70

***

Entry from Alexandria: crystalline RbNaVS3 at its relaxed geometry (PBE).

Cell lengths 7.087, 7.087, 8.696 Å; angles 64.91, 64.91, 70.27 degrees
Sites, in units of the cell vectors:
S  0.260  0.260  0.643
S  0.844  0.278  0.166
S  0.156  0.722  0.834
S  0.278  0.844  0.166
S  0.722  0.156  0.834
S  0.740  0.740  0.357
Rb  0.693  0.693  0.807
Rb  0.307  0.307  0.193
Na  0.304  0.696  0.500
Na  0.696  0.304  0.500
V  0.044  0.044  0.822
V  0.956  0.956  0.178

## Properties
**Uncorrected formation energy**: -899 meV/atom
**Size of the total moment**: 0.000 μB per formula unit
**Space group**: No. 12

***

Entry from Alexandria: crystalline Rb2NaWS4 at its relaxed geometry (PBE).

Cell lengths 6.359, 7.541, 12.721 Å; angles 83.95, 75.53, 65.07 degrees
Each line ends with the local moment (μB).
Sites, in units of the cell vectors:
W  0.250  0.500  0.500  0.64
W  0.500  0.000  0.000  0.64
Na  0.000  0.000  0.000  0.00
Na  0.750  0.500  0.500  0.00
S  0.348  0.802  0.106  0.01
S  0.546  0.198  0.106  0.01
S  0.900  0.698  0.606  0.01
S  0.256  0.198  0.894  0.01
S  0.494  0.302  0.606  0.01
S  0.402  0.698  0.394  0.01
S  0.850  0.802  0.894  0.01
S  0.204  0.302  0.394  0.01
Rb  0.569  0.500  0.863  0.00
Rb  0.931  0.500  0.137  0.00
Rb  0.819  0.000  0.363  0.00
Rb  0.181  0.000  0.637  0.00

## Properties
**Uncorrected formation energy**: -863 meV/atom
**Size of the total moment**: 1.022 μB per formula unit
**Space group**: No. 70

***

Entry from Alexandria: crystalline RbNaWS4 at its relaxed geometry (PBE).

Cell lengths 6.788, 7.077, 9.132 Å; angles 90.00, 107.58, 90.00 degrees
Sites, in units of the cell vectors:
S  0.993  0.001  0.725
S  0.007  0.501  0.275
S  0.410  0.750  0.165
S  0.993  0.499  0.725
S  0.590  0.250  0.835
S  0.007  0.999  0.275
S  0.402  0.750  0.561
S  0.598  0.250  0.439
W  0.786  0.250  0.680
W  0.214  0.750  0.320
Na  0.228  0.250  0.547
Na  0.772  0.750  0.453
Rb  0.277  0.250  0.071
Rb  0.723  0.750  0.929

## Properties
**Uncorrected formation energy**: -921 meV/atom
**Size of the total moment**: 0.000 μB per formula unit
**Space group**: No. 11

***

Entry from Alexandria: crystalline Rb2NaYS at its relaxed geometry (PBE).

Cell lengths 6.657, 5.286, 6.657 Å; angles 90.00, 90.00, 90.00 degrees
Each line ends with the local moment (μB).
Sites, in units of the cell vectors:
Na  0.000  0.500  0.000  0.00
Rb  0.000  0.000  0.500  0.02
Rb  0.500  0.000  0.000  0.02
S  0.000  0.000  0.000  0.02
Y  0.500  0.500  0.500  0.73

## Properties
**Uncorrected formation energy**: 46 meV/atom
**Size of the total moment**: 1.976 μB per formula unit
**Space group**: No. 123

***

Entry from Alexandria: crystalline RbNaZnS2 at its relaxed geometry (PBE).

Cell lengths 6.072, 6.542, 7.881 Å; angles 114.52, 90.00, 90.00 degrees
Sites, in units of the cell vectors:
Rb  0.232  0.750  0.500
Rb  0.768  0.250  0.500
Zn  0.000  0.500  0.000
Zn  0.000  0.000  0.000
S  0.238  0.111  0.222
S  0.762  0.611  0.222
S  0.238  0.389  0.778
S  0.762  0.889  0.778
Na  0.500  0.750  0.000
Na  0.500  0.250  0.000

## Properties
**Uncorrected formation energy**: -923 meV/atom
**Size of the total moment**: 0.000 μB per formula unit
**Space group**: No. 67

***

Entry from Alexandria: crystalline RbNaZn2S at its relaxed geometry (PBE).

Cell lengths 5.249, 5.249, 6.500 Å; angles 90.00, 90.00, 90.00 degrees
Sites, in units of the cell vectors:
Zn  0.500  0.000  0.000
Zn  0.000  0.500  0.000
Rb  0.000  0.000  0.500
Na  0.000  0.000  0.000
S  0.500  0.500  0.500

## Properties
**Uncorrected formation energy**: 385 meV/atom
**Size of the total moment**: 0.016 μB per formula unit
**Space group**: No. 123

***

Entry from Alexandria: crystalline RbNaZnS2 at its relaxed geometry (PBE).

Cell lengths 6.019, 5.965, 6.019 Å; angles 90.00, 90.00, 90.00 degrees
Each line ends with the local moment (μB).
Sites, in units of the cell vectors:
Zn  0.500  0.500  0.500  0.07
Na  0.000  0.500  0.000  0.00
S  0.000  0.000  0.500  0.60
S  0.500  0.000  0.000  0.50
Rb  0.000  0.000  0.000  0.01

## Properties
**Uncorrected formation energy**: 571 meV/atom
**Size of the total moment**: 2.000 μB per formula unit
**Space group**: No. 123

***

Entry from Alexandria: crystalline RbNaZrS3 at its relaxed geometry (PBE).

Cell lengths 6.974, 7.297, 7.797 Å; angles 117.90, 90.00, 90.00 degrees
Sites, in units of the cell vectors:
Zr  0.250  0.055  0.110
Zr  0.750  0.945  0.890
S  0.000  0.233  0.000
S  0.500  0.233  0.000
S  0.000  0.767  0.000
S  0.500  0.767  0.000
S  0.250  0.227  0.454
S  0.750  0.773  0.546
Na  0.250  0.426  0.852
Na  0.750  0.574  0.148
Rb  0.750  0.258  0.516
Rb  0.250  0.742  0.484

## Properties
**Uncorrected formation energy**: -1433 meV/atom
**Size of the total moment**: 0.000 μB per formula unit
**Space group**: No. 63